1.
Entry from Alexandria via LeMat-Bulk: a PBEsol-optimized structure of YZrSc2 (meta-GGA SCAN).

It has space group I4/mmm (No. 139), with a = 4.635 Å, b = 4.635 Å, c = 9.056 Å, α = 90.00°, β = 90.00° and γ = 90.00°. The asymmetric unit holds Y at (0.000, 0.000, 0.000), Zr at (0.000, 0.000, 0.500) and Sc at (0.000, 0.500, 0.250).

***

2.
Entry from Alexandria via LeMat-Bulk: a PBEsol-optimized structure of YZr2Sc (meta-GGA SCAN).

It has space group Pmm2 (No. 25), with a = 3.269 Å, b = 4.434 Å, c = 6.692 Å, α = 90.00°, β = 90.00° and γ = 90.00°. The asymmetric unit holds Y at (0.000, 0.000, 0.000), Zr at (0.000, 0.000, 0.486), Zr at (0.500, 0.500, 0.267) and Sc at (0.500, 0.500, 0.720).

***

3.
Entry from Alexandria via LeMat-Bulk: a PBEsol-optimized structure of Y2ZrSc (meta-GGA SCAN).

It has space group Cmmm (No. 65), with a = 6.657 Å, b = 9.416 Å, c = 3.322 Å, α = 90.00°, β = 90.00° and γ = 90.00°. The asymmetric unit holds Y at (0.250, 0.250, 0.000), Zr at (0.000, 0.000, 0.500) and Sc at (0.000, 0.500, 0.500).

***

4.
Entry from Alexandria via LeMat-Bulk: a PBEsol-optimized structure of YZrSc2 (meta-GGA SCAN).

It has space group Cmmm (No. 65), with a = 6.533 Å, b = 9.153 Å, c = 3.249 Å, α = 90.00°, β = 90.00° and γ = 90.00°. The asymmetric unit holds Y at (0.000, 0.000, 0.000), Zr at (0.000, 0.500, 0.000) and Sc at (0.250, 0.250, 0.500).

***

5.
Entry from Alexandria via LeMat-Bulk: a PBEsol-optimized structure of YZr2Sc (meta-GGA SCAN).

It has space group F-43m (No. 216), with a = 7.241 Å, b = 7.241 Å, c = 7.241 Å, α = 90.00°, β = 90.00° and γ = 90.00°. The asymmetric unit holds Y at (0.000, 0.000, 0.000), Zr at (0.000, 0.000, 0.500), Zr at (0.250, 0.250, 0.250) and Sc at (0.250, 0.250, 0.750).

***

6.
Entry from Alexandria via LeMat-Bulk: a PBEsol-optimized structure of Y2ZrSc (meta-GGA SCAN).

It has space group Amm2 (No. 38), with a = 5.134 Å, b = 3.330 Å, c = 12.393 Å, α = 90.00°, β = 90.00° and γ = 90.00°. The asymmetric unit holds Y at (0.000, 0.000, 0.000), Y at (0.500, 0.000, 0.341), Zr at (0.000, 0.000, 0.731) and Sc at (0.500, 0.000, 0.613).

***

7.
Entry from Alexandria via LeMat-Bulk: a PBEsol-optimized structure of Y2ZrSc (meta-GGA SCAN).

It has space group Pmm2 (No. 25), with a = 3.353 Å, b = 4.535 Å, c = 6.888 Å, α = 90.00°, β = 90.00° and γ = 90.00°. The asymmetric unit holds Y at (0.000, 0.000, 0.000), Y at (0.500, 0.500, 0.285), Zr at (0.000, 0.000, 0.528) and Sc at (0.500, 0.500, 0.742).

***

8.
Entry from Alexandria via LeMat-Bulk: a PBEsol-optimized structure of YZr2Sc (meta-GGA SCAN).

It has space group R-3m (No. 166, hexagonal axes), with a = 3.2221 Å, b = 3.2221 Å, c = 31.9261 Å, α = 90.00°, β = 90.00° and γ = 120.00°. The asymmetric unit holds Y at (0.0000, 0.0000, 0.0000), Zr at (0.0000, 0.0000, 0.2475) and Sc at (0.0000, 0.0000, 0.5000).

***

no.,formation enthalpy at 0 K (eV per formula unit)
1,0.39
2,0.38
3,0.55
4,0.45
5,0.71
6,0.29
7,0.45
8,0.54